1.
The following is a meta-GGA SCAN calculation of ZnNi2Pt at its PBEsol-relaxed geometry, from Alexandria.

a b c (Å): 3.6938 3.6938 7.1630
angles (deg): 90.00 90.00 90.00
With the nearest neighbours (Å) after each atom.
Space group I-4m2 (No. 119)
Symmetry-distinct sites (fractional):
Zn1 0.0000 0.0000 0.0000  8 Ni 2.57-2.61, 4 Pt 2.57
Ni1 0.0000 0.0000 0.5000  4 Pt 2.57, 4 Ni 2.57, 4 Zn 2.61
Ni2 0.0000 0.5000 0.2500  4 Ni 2.57, 4 Zn 2.57, 4 Pt 2.61
Pt1 0.0000 0.5000 0.7500  8 Ni 2.57-2.61, 4 Zn 2.57

***

2.
The following is a meta-GGA SCAN calculation of Zn2NiPt at its PBEsol-relaxed geometry, from Alexandria.

a b c (Å): 3.7126 3.7126 7.5126
angles (deg): 90.00 90.00 90.00
With the nearest neighbours (Å) after each atom.
Space group I-4m2 (No. 119)
Symmetry-distinct sites (fractional):
Zn1 0.0000 0.0000 0.0000  4 Ni 2.63, 4 Pt 2.64, 4 Zn 2.64
Zn2 0.0000 0.5000 0.2500  4 Pt 2.63, 4 Ni 2.64, 4 Zn 2.64
Ni1 0.0000 0.0000 0.5000  8 Zn 2.63-2.64, 4 Pt 2.64
Pt1 0.0000 0.5000 0.7500  8 Zn 2.63-2.64, 4 Ni 2.64

***

3.
The following is a meta-GGA SCAN calculation of Zn2NiPt at its PBEsol-relaxed geometry, from Alexandria.

a b c (Å): 5.4752 6.7732 2.7855
angles (deg): 90.00 90.00 90.00
With the nearest neighbours (Å) after each atom.
Space group Cmmm (No. 65)
Symmetry-distinct sites (fractional):
Zn1 0.2500 0.2500 0.0000  4 Pt 2.58, 4 Ni 2.58, 4 Zn 2.74-2.79
Ni1 0.0000 0.0000 0.5000  8 Zn 2.58, 2 Pt 2.74, 2 Ni 2.79
Pt1 0.0000 0.5000 0.5000  8 Zn 2.58, 2 Ni 2.74, 2 Pt 2.79

***

4.
The following is a meta-GGA SCAN calculation of ZnNi2Pt at its PBEsol-relaxed geometry, from Alexandria.

a b c (Å): 8.4959 2.6597 4.4065
angles (deg): 90.00 101.49 90.00
With the nearest neighbours (Å) after each atom.
Space group Cm (No. 8)
Symmetry-distinct sites (fractional):
Zn1 0.0000 0.0000 0.0000  7 Ni 2.50-2.65, 3 Pt 2.59-2.62, 2 Zn 2.66
Ni1 0.0074 0.5000 0.5231  4 Zn 2.50-2.65, 5 Ni 2.52-2.66, 3 Pt 2.57-2.58
Ni2 0.2526 0.0000 0.7607  5 Ni 2.52-2.66, 3 Zn 2.53-2.57, 4 Pt 2.55-2.60
Pt1 0.2552 0.5000 0.2692  7 Ni 2.55-2.60, 3 Zn 2.59-2.62, 2 Pt 2.66

***

5.
The following is a meta-GGA SCAN calculation of Zn2NiPt at its PBEsol-relaxed geometry, from Alexandria.

a b c (Å): 2.7779 3.3542 5.4920
angles (deg): 90.00 90.00 90.00
With the nearest neighbours (Å) after each atom.
Space group Pmmm (No. 47)
Symmetry-distinct sites (fractional):
Zn1 0.0000 0.0000 0.2339  4 Ni 2.53, 3 Zn 2.57-2.78, 4 Pt 2.62
Ni1 0.5000 0.5000 0.0000  8 Zn 2.53, 2 Pt 2.75, 2 Ni 2.78
Pt1 0.5000 0.5000 0.5000  8 Zn 2.62, 2 Ni 2.75, 2 Pt 2.78

***

6.
The following is a meta-GGA SCAN calculation of ZnNiPt2 at its PBEsol-relaxed geometry, from Alexandria.

a b c (Å): 3.7620 3.7620 7.6342
angles (deg): 90.00 90.00 90.00
With the nearest neighbours (Å) after each atom.
Space group I-4m2 (No. 119)
Symmetry-distinct sites (fractional):
Zn1 0.0000 0.0000 0.0000  8 Pt 2.66-2.68, 4 Ni 2.68
Ni1 0.0000 0.5000 0.2500  8 Pt 2.66-2.68, 4 Zn 2.68
Pt1 0.0000 0.0000 0.5000  4 Zn 2.66, 4 Pt 2.68, 4 Ni 2.68
Pt2 0.0000 0.5000 0.7500  4 Ni 2.66, 4 Zn 2.68, 4 Pt 2.68

***

7.
The following is a meta-GGA SCAN calculation of ZnNi2Pt at its PBEsol-relaxed geometry, from Alexandria.

a b c (Å): 2.6535 4.2089 4.3721
angles (deg): 90.00 90.00 90.00
With the nearest neighbours (Å) after each atom.
Space group Pmm2 (No. 25)
Symmetry-distinct sites (fractional):
Zn1 0.0000 0.0000 0.0000  8 Ni 2.51-2.60, 2 Pt 2.65, 2 Zn 2.65
Ni1 0.5000 0.0000 0.5119  4 Zn 2.51-2.60, 4 Pt 2.56, 4 Ni 2.60-2.65
Ni2 0.5000 0.5000 0.8621  4 Pt 2.53-2.59, 4 Zn 2.56, 4 Ni 2.60-2.65
Pt1 0.0000 0.5000 0.3696  8 Ni 2.53-2.59, 2 Zn 2.65, 2 Pt 2.65

***

8.
The following is a meta-GGA SCAN calculation of ZrNiPt2 at its PBEsol-relaxed geometry, from Alexandria.

a b c (Å): 3.8823 3.8823 7.9877
angles (deg): 90.00 90.00 90.00
With the nearest neighbours (Å) after each atom.
Space group I-4m2 (No. 119)
Symmetry-distinct sites (fractional):
Zr1 0.0000 0.0000 0.0000  8 Pt 2.75-2.78, 4 Ni 2.78
Ni1 0.0000 0.5000 0.2500  8 Pt 2.75-2.78, 4 Zr 2.78
Pt1 0.0000 0.0000 0.5000  4 Zr 2.75, 4 Ni 2.78, 4 Pt 2.78
Pt2 0.0000 0.5000 0.7500  4 Ni 2.75, 4 Zr 2.78, 4 Pt 2.78

***

9.
The following is a meta-GGA SCAN calculation of ZrNi2Pt at its PBEsol-relaxed geometry, from Alexandria.

a b c (Å): 3.7622 3.7622 7.8627
angles (deg): 90.00 90.00 90.00
With the nearest neighbours (Å) after each atom.
Space group I-4m2 (No. 119)
Symmetry-distinct sites (fractional):
Zr1 0.0000 0.0000 0.0000  8 Ni 2.66-2.72, 4 Pt 2.72
Ni1 0.0000 0.0000 0.5000  4 Zr 2.66, 4 Ni 2.72, 4 Pt 2.72
Ni2 0.0000 0.5000 0.7500  4 Pt 2.66, 4 Zr 2.72, 4 Ni 2.72
Pt1 0.0000 0.5000 0.2500  8 Ni 2.66-2.72, 4 Zr 2.72

***

10.
The following is a meta-GGA SCAN calculation of Zr2Ni2Pt at its PBEsol-relaxed geometry, from Alexandria.

a b c (Å): 6.8382 6.8382 3.2943
angles (deg): 90.00 90.00 90.00
With the nearest neighbours (Å) after each atom.
Space group P4/mbm (No. 127)
Symmetry-distinct sites (fractional):
Zr1 0.1771 0.3229 0.0000  6 Ni 2.53-2.66
Ni1 0.1247 0.6247 0.5000  1 Ni 2.41, 6 Zr 2.53-2.66
Pt1 0.0000 0.0000 0.5000  4 Ni 2.70, 8 Zr 3.01

***

11.
The following is a meta-GGA SCAN calculation of ZrNiPt2 at its PBEsol-relaxed geometry, from Alexandria.

a b c (Å): 6.2598 6.2598 6.2598
angles (deg): 90.00 90.00 90.00
With the nearest neighbours (Å) after each atom.
Space group F-43m (No. 216)
Symmetry-distinct sites (fractional):
Zr1 0.0000 0.0000 0.0000  4 Pt 2.71, 4 Ni 2.71
Ni1 0.2500 0.2500 0.7500  4 Zr 2.71, 4 Pt 2.71
Pt1 0.0000 0.0000 0.5000  4 Ni 2.71, 4 Pt 2.71
Pt2 0.2500 0.2500 0.2500  4 Zr 2.71, 4 Pt 2.71

***

12.
The following is a meta-GGA SCAN calculation of ZrNi2Pt at its PBEsol-relaxed geometry, from Alexandria.

a b c (Å): 3.8609 3.8609 7.4183
angles (deg): 90.00 90.00 90.00
With the nearest neighbours (Å) after each atom.
Space group I4/mmm (No. 139)
Symmetry-distinct sites (fractional):
Zr1 0.0000 0.0000 0.0000  8 Ni 2.68, 4 Pt 2.73
Ni1 0.0000 0.5000 0.2500  4 Zr 2.68, 4 Pt 2.68, 4 Ni 2.73
Pt1 0.0000 0.0000 0.5000  8 Ni 2.68, 4 Zr 2.73

***

no.,formation enthalpy at 0 K (eV per atom),energy (eV per atom)
1,-0.277,-29.29
2,-0.337,-28.69
3,-0.404,-28.75
4,-0.223,-29.24
5,-0.422,-28.77
6,-0.268,-42.79
7,-0.200,-29.21
8,-0.922,-47.74
9,-0.700,-34.01
10,-0.820,-33.61
11,-0.667,-47.48
12,-0.683,-33.99